(1)
VASP calculation (PBEsol) on a relaxed FeTeI2N crystal.

- Crystal system: tetragonal
- Uncorrected formation energy: 124.0 kJ per mole of atoms
- E above lowest polymorph: 0.067 eV/atom

Cell and atoms, written as CIF:
```
data_FeTeI2N
_chemical_formula_sum 'Fe1 Te1 I2 N1'
_cell_length_a 5.333
_cell_length_b 5.333
_cell_length_c 5.013
_cell_angle_alpha 90.00
_cell_angle_beta 90.00
_cell_angle_gamma 90.00
_symmetry_space_group_name_H-M 'P 4/m m m'
_symmetry_Int_Tables_number 123
_symmetry_space_group_name_Hall '-P 4 2'
loop_
_atom_site_label
_atom_site_type_symbol
_atom_site_fract_x
_atom_site_fract_y
_atom_site_fract_z
Fe1 Fe 0.000 0.000 0.000
Te1 Te 0.000 0.000 0.500
I1 I 0.000 0.500 0.000
N1 N 0.500 0.500 0.500
```



(2)
VASP calculation (PBEsol) on a relaxed ZrFeIN2 crystal.

- Crystal system: tetragonal
- Uncorrected formation energy: 68.6 kJ per mole of atoms

Cell and atoms, written as CIF:
```
data_ZrFeIN2
_chemical_formula_sum 'Zr1 Fe1 I1 N2'
_cell_length_a 4.086
_cell_length_b 4.086
_cell_length_c 5.893
_cell_angle_alpha 90.00
_cell_angle_beta 90.00
_cell_angle_gamma 90.00
_symmetry_space_group_name_H-M 'P 4/m m m'
_symmetry_Int_Tables_number 123
_symmetry_space_group_name_Hall '-P 4 2'
loop_
_atom_site_label
_atom_site_type_symbol
_atom_site_fract_x
_atom_site_fract_y
_atom_site_fract_z
Zr1 Zr 0.000 0.000 0.000
Fe1 Fe 0.500 0.500 0.500
I1 I 0.000 0.000 0.500
N1 N 0.000 0.500 0.000
```



(3)
VASP calculation (PBEsol) on a relaxed Na2ZnFeI crystal.

- Crystal system: tetragonal
- Uncorrected formation energy: 61.8 kJ per mole of atoms

Cell and atoms, written as CIF:
```
data_Na2ZnFeI
_chemical_formula_sum 'Na2 Zn1 Fe1 I1'
_cell_length_a 5.823
_cell_length_b 5.823
_cell_length_c 4.709
_cell_angle_alpha 90.00
_cell_angle_beta 90.00
_cell_angle_gamma 90.00
_symmetry_space_group_name_H-M 'P 4/m m m'
_symmetry_Int_Tables_number 123
_symmetry_space_group_name_Hall '-P 4 2'
loop_
_atom_site_label
_atom_site_type_symbol
_atom_site_fract_x
_atom_site_fract_y
_atom_site_fract_z
Na1 Na 0.000 0.500 0.000
Zn1 Zn 0.000 0.000 0.500
Fe1 Fe 0.500 0.500 0.500
I1 I 0.500 0.500 0.000
```



(4)
VASP calculation (PBEsol) on a relaxed NbFeI2O crystal.

- Crystal system: tetragonal
- Uncorrected formation energy: 11.8 kJ per mole of atoms

Cell and atoms, written as CIF:
```
data_NbFeI2O
_chemical_formula_sum 'Nb1 Fe1 I2 O1'
_cell_length_a 5.272
_cell_length_b 5.272
_cell_length_c 3.436
_cell_angle_alpha 90.00
_cell_angle_beta 90.00
_cell_angle_gamma 90.00
_symmetry_space_group_name_H-M 'P 4/m m m'
_symmetry_Int_Tables_number 123
_symmetry_space_group_name_Hall '-P 4 2'
loop_
_atom_site_label
_atom_site_type_symbol
_atom_site_fract_x
_atom_site_fract_y
_atom_site_fract_z
Nb1 Nb 0.000 0.000 0.000
Fe1 Fe 0.500 0.500 0.500
I1 I 0.000 0.500 0.500
O1 O 0.500 0.500 0.000
```



Look up the uncorrected formation energy of the fourth one. 11.8 kJ per mole of atoms